Zr4W3: relaxed, GGA-PBE.

Values from the calculation:
The value obtained for the distance to the lowest polymorph of the same formula is 99 kJ/mol of formula units. As for the energy of formation from the pure elements: 300.2 meV/atom. The total DFT energy (no corrections) comes out at -10.138 eV/atom. Its total magnetic moment is 0.0 μB per formula unit.

a b c (Å): 8.3602 8.3602 4.6156
angles (deg): 90.00 90.00 120.00
Last column: nearest neighbours and their distance in Å.
Space group P6_3/m (No. 176)
Asymmetric unit:
1 Zr 0.1151 0.8409 0.2500 (multiplicity 6)  5 Zr 2.85-3.05, 4 W 2.97-3.15
2 Zr 0.3333 0.6667 0.2500 (multiplicity 2)  3 Zr 2.85, 9 W 2.88-3.12
3 W 0.0968 0.5755 0.7500 (multiplicity 6)  4 W 2.74-2.99, 4 Zr 2.88-3.01